(1)
! Ca2CoIrO6 PBE with a Hubbard U relaxed; values from VASP
! Energy: -130.07 eV for the cell shown
&SYSTEM
  ibrav = 0, nat = 20, ntyp = 4
/
ATOMIC_SPECIES
Ca 40.08 Ca.upf
Co 58.93 Co.upf
Ir 192.22 Ir.upf
O 16.00 O.upf
ATOMIC_POSITIONS crystal
Ca 0.2331 0.0603 0.2482
Ca 0.2331 0.4397 0.7482
Ca 0.7669 0.5603 0.2518
Ca 0.7669 0.9397 0.7518
Co 0.0000 0.0000 0.5000
Co 0.0000 0.5000 0.0000
Ir 0.5000 0.0000 0.0000
Ir 0.5000 0.5000 0.5000
O 0.1602 0.1934 0.9539
O 0.1602 0.3066 0.4539
O 0.2595 0.7101 0.9491
O 0.2595 0.7899 0.4491
O 0.3503 0.0287 0.7555
O 0.3503 0.4713 0.2555
O 0.6497 0.5287 0.7445
O 0.6497 0.9713 0.2445
O 0.7405 0.2101 0.5509
O 0.7405 0.2899 0.0509
O 0.8398 0.6934 0.5461
O 0.8398 0.8066 0.0461
CELL_PARAMETERS angstrom
5.4219 0.0000 0.0000
0.0000 5.6323 0.0000
-5.3873 0.0000 7.7405

=====

(2)
! CaCoIrO4 PBE with a Hubbard U relaxed; values from VASP
! Energy: -90.82 eV for the cell shown
&SYSTEM
  ibrav = 0, nat = 14, ntyp = 4
/
ATOMIC_SPECIES
Ca 40.08 Ca.upf
Co 58.93 Co.upf
Ir 192.22 Ir.upf
O 16.00 O.upf
ATOMIC_POSITIONS crystal
Ca 0.3828 0.1328 0.2500
Ca 0.6172 0.8672 0.7500
Co 0.0000 0.0000 0.5000
Co 0.0000 0.5000 0.0000
Ir 0.0000 0.5000 0.5000
Ir 0.5000 0.5000 0.0000
O 0.1864 0.7356 0.4508
O 0.2152 0.2644 0.9508
O 0.2196 0.2513 0.5317
O 0.2196 0.6880 0.9683
O 0.7804 0.3120 0.0317
O 0.7804 0.7487 0.4683
O 0.7848 0.7356 0.0492
O 0.8136 0.2644 0.5492
CELL_PARAMETERS angstrom
-2.9624 3.2175 4.4028
2.9624 -3.2175 4.4028
2.9624 3.2175 -4.4028

=====

(3)
! Ca2CoIrO6 PBE with a Hubbard U relaxed; values from VASP
! Energy: -63.50 eV for the cell shown
&SYSTEM
  ibrav = 0, nat = 10, ntyp = 4
/
ATOMIC_SPECIES
Ca 40.08 Ca.upf
Co 58.93 Co.upf
Ir 192.22 Ir.upf
O 16.00 O.upf
ATOMIC_POSITIONS crystal
Ca 0.0000 0.5000 0.0000
Ca 0.5000 0.0000 0.0000
Co 0.0000 0.0000 0.5387
Ir 0.5000 0.5000 0.5878
O 0.0000 0.0000 0.0760
O 0.2522 0.2522 0.6046
O 0.2522 0.7478 0.6046
O 0.5000 0.5000 0.0897
O 0.7478 0.2522 0.6046
O 0.7478 0.7478 0.6046
CELL_PARAMETERS angstrom
5.5898 0.0000 0.0000
0.0000 5.5898 0.0000
0.0000 0.0000 3.8842

=====

(4)
! Ca2CoIrO PBE with a Hubbard U relaxed; values from VASP
! Energy: -21.85 eV for the cell shown
&SYSTEM
  ibrav = 0, nat = 5, ntyp = 4
/
ATOMIC_SPECIES
Ca 40.08 Ca.upf
Co 58.93 Co.upf
Ir 192.22 Ir.upf
O 16.00 O.upf
ATOMIC_POSITIONS crystal
Ca 0.0000 0.5000 0.0000
Ca 0.5000 0.0000 0.0000
Co 0.0000 0.0000 0.5000
Ir 0.0000 0.0000 0.0000
O 0.5000 0.5000 0.5000
CELL_PARAMETERS angstrom
5.3734 0.0000 0.0000
0.0000 5.3734 0.0000
0.0000 0.0000 4.5073

=====

Which formula does entry 1 have?
Ca2CoIrO6

=====

Among the records above, which one has the lowest energy?
number 1